Density functional theory data (PBE-GGA) for an optimized crystal structure of CsPd4Se2.

For the uncorrected formation energy, the calculation gives -42.6 kJ/mol of atoms. For the magnetization, the calculation gives 0.00 μB per formula unit.

The space group is Cmmm (No. 65) and the conventional cell measures 4.265, 17.819 and 4.221 Å, with angles of 90.00, 90.00 and 90.00 degrees. Symmetry generates all atoms from Cs at (0.000, 0.000, 0.000), Pd at (0.000, 0.197, 0.500), Pd at (0.000, 0.304, 0.000) and Se at (0.000, 0.377, 0.500).


Density functional theory data (PBE-GGA) for an optimized crystal structure of Cs2PdSe8.

For the uncorrected formation energy, the calculation gives -46.8 kJ/mol of atoms. For the magnetization, the calculation gives 0.00 μB per formula unit.

The space group is P-1 (No. 2) and the conventional cell measures 6.994, 7.369 and 8.688 Å, with angles of 81.56, 71.77 and 71.99 degrees. Symmetry generates all atoms from Cs at (0.214, 0.220, 0.303), Pd at (0.500, 0.500, 0.000), Se at (0.052, 0.138, 0.920), Se at (0.234, 0.735, 0.195), Se at (0.256, 0.566, 0.831) and Se at (0.435, 0.380, 0.600).


Density functional theory data (PBE-GGA) for an optimized crystal structure of CsPdSe5.

For the uncorrected formation energy, the calculation gives -26.3 kJ/mol of atoms. For the magnetization, the calculation gives 0.00 μB per formula unit.

The space group is P1 (No. 1) and the conventional cell measures 5.668, 6.726 and 7.001 Å, with angles of 99.17, 113.85 and 92.44 degrees. Symmetry generates all atoms from Cs at (0.000, 0.000, 0.000), Pd at (0.531, 0.594, 0.097), Se at (0.200, 0.857, 0.535), Se at (0.297, 0.509, 0.720), Se at (0.645, 0.313, 0.283), Se at (0.754, 0.859, 0.413) and Se at (0.856, 0.428, 0.657).


Density functional theory data (PBE-GGA) for an optimized crystal structure of Cs3PdSe3.

For the uncorrected formation energy, the calculation gives -67.1 kJ/mol of atoms. For the magnetization, the calculation gives 0.76 μB per formula unit.

The space group is R3m (No. 160, hexagonal axes) and the conventional cell measures 11.6675, 11.6675 and 7.2969 Å, with angles of 90.00, 90.00 and 120.00 degrees. Symmetry generates all atoms from Cs at (0.1964, 0.3928, 0.0000), Pd at (0.0000, 0.0000, 0.8323) and Se at (0.2153, 0.4307, 0.5018).


Density functional theory data (PBE-GGA) for an optimized crystal structure of CsPdSe3.

For the uncorrected formation energy, the calculation gives -18.3 kJ/mol of atoms. For the magnetization, the calculation gives 0.00 μB per formula unit.

The space group is Pm-3m (No. 221) and the conventional cell measures 5.165, 5.165 and 5.165 Å, with angles of 90.00, 90.00 and 90.00 degrees. Symmetry generates all atoms from Cs at (0.000, 0.000, 0.000), Pd at (0.500, 0.500, 0.500) and Se at (0.000, 0.500, 0.500).


Density functional theory data (PBE-GGA) for an optimized crystal structure of Cs3PdSe.

For the uncorrected formation energy, the calculation gives -24.0 kJ/mol of atoms. For the magnetization, the calculation gives 0.00 μB per formula unit.

The space group is Pm-3m (No. 221) and the conventional cell measures 6.108, 6.108 and 6.108 Å, with angles of 90.00, 90.00 and 90.00 degrees. Symmetry generates all atoms from Cs at (0.000, 0.000, 0.500), Pd at (0.000, 0.000, 0.000) and Se at (0.500, 0.500, 0.500).


Density functional theory data (PBE-GGA) for an optimized crystal structure of Cs3Pd2Se3.

For the uncorrected formation energy, the calculation gives -66.6 kJ/mol of atoms. For the magnetization, the calculation gives 0.00 μB per formula unit.

The space group is Cmcm (No. 63) and the conventional cell measures 5.022, 12.810 and 16.167 Å, with angles of 90.00, 90.00 and 90.00 degrees. Symmetry generates all atoms from Cs at (0.000, 0.018, 0.118), Cs at (0.000, 0.307, 0.750), Pd at (0.000, 0.297, 0.095), Se at (0.000, 0.239, 0.553) and Se at (0.000, 0.380, 0.250).


Density functional theory data (PBE-GGA) for an optimized crystal structure of Cs2PdSe2.

For the uncorrected formation energy, the calculation gives -51.9 kJ/mol of atoms. For the magnetization, the calculation gives 0.00 μB per formula unit.

The space group is P4/mbm (No. 127) and the conventional cell measures 7.226, 7.226 and 5.856 Å, with angles of 90.00, 90.00 and 90.00 degrees. Symmetry generates all atoms from Cs at (0.170, 0.330, 0.000), Pd at (0.000, 0.000, 0.500) and Se at (0.160, 0.660, 0.500).


Density functional theory data (PBE-GGA) for an optimized crystal structure of Cs2PdSe8.

For the uncorrected formation energy, the calculation gives -49.7 kJ/mol of atoms. For the magnetization, the calculation gives 0.00 μB per formula unit.

The space group is I4_1/acd (No. 142, origin choice 2) and the conventional cell measures 15.381, 15.381 and 13.520 Å, with angles of 90.00, 90.00 and 90.00 degrees. Symmetry generates all atoms from Cs at (0.114, 0.136, 0.125), Pd at (0.000, 0.250, 0.375), Se at (0.032, 0.093, 0.382) and Se at (0.090, 0.006, 0.839).


Density functional theory data (PBE-GGA) for an optimized crystal structure of CsPd3Se2.

For the uncorrected formation energy, the calculation gives -44.9 kJ/mol of atoms. For the magnetization, the calculation gives 0.00 μB per formula unit.

The space group is C2/m (No. 12) and the conventional cell measures 15.591, 4.152 and 9.442 Å, with angles of 90.00, 110.98 and 90.00 degrees. Symmetry generates all atoms from Cs at (0.141, 0.000, 0.049), Pd at (0.058, 0.000, 0.401), Pd at (0.091, 0.500, 0.625), Pd at (0.189, 0.500, 0.425), Se at (0.023, 0.500, 0.239) and Se at (0.188, 0.000, 0.680).


Density functional theory data (PBE-GGA) for an optimized crystal structure of CsPdSe3.

For the uncorrected formation energy, the calculation gives 137.3 kJ/mol of atoms. For the magnetization, the calculation gives 3.03 μB per formula unit.

The space group is Pm-3m (No. 221) and the conventional cell measures 5.970, 5.970 and 5.970 Å, with angles of 90.00, 90.00 and 90.00 degrees. Symmetry generates all atoms from Cs at (0.000, 0.000, 0.000), Pd at (0.500, 0.500, 0.500) and Se at (0.000, 0.000, 0.500).


Density functional theory data (PBE-GGA) for an optimized crystal structure of Cs2SiPdSe4.

For the uncorrected formation energy, the calculation gives -71.7 kJ/mol of atoms. For the magnetization, the calculation gives 0.00 μB per formula unit.

The space group is Fddd (No. 70, origin choice 2) and the conventional cell measures 6.887, 12.508 and 26.311 Å, with angles of 90.00, 90.00 and 90.00 degrees. Symmetry generates all atoms from Cs at (0.125, 0.125, 0.308), Si at (0.125, 0.125, 0.625), Pd at (0.125, 0.125, 0.125) and Se at (0.107, 0.315, 0.818).